Record 1
This record from the Alexandria database describes a geometry-optimized U6NiC5 structure. The functional is PBE.

Cell lengths 6.326, 6.326, 10.896 Å; angles 90.00, 90.00, 120.00 degrees
Each line ends with the local moment (μB).
Fractional coordinates of all 24 atoms:
1 U 0.358 0.000 0.619  1.14
2 U 0.358 0.358 0.119  1.14
3 U 0.358 0.000 0.881  1.14
4 U 0.358 0.358 0.381  1.14
5 U 0.000 0.358 0.881  1.14
6 U 0.642 0.000 0.381  1.14
7 U 0.642 0.000 0.119  1.14
8 U 0.000 0.642 0.381  1.14
9 U 0.642 0.642 0.619  1.14
10 U 0.000 0.642 0.119  1.14
11 U 0.000 0.358 0.619  1.14
12 U 0.642 0.642 0.881  1.14
13 C 0.000 0.675 0.750  -0.06
14 C 0.675 0.675 0.250  -0.06
15 C 0.333 0.667 0.500  -0.07
16 C 0.333 0.667 0.000  -0.07
17 C 0.667 0.333 0.000  -0.07
18 C 0.325 0.325 0.750  -0.06
19 C 0.325 0.000 0.250  -0.06
20 C 0.667 0.333 0.500  -0.07
21 C 0.675 0.000 0.750  -0.06
22 C 0.000 0.325 0.250  -0.06
23 Ni 0.000 0.000 0.750  -0.08
24 Ni 0.000 0.000 0.250  -0.08

Properties
The calculation puts the energy of formation from the pure elements at 89 meV per atom. Its crystal system is hexagonal. The calculation puts the spin magnetization at 6.824 μB/f.u. As for the raw total energy: -9.88 eV/atom.

Record 2
This record from the Alexandria database describes a geometry-optimized Hf3InN structure. The functional is PBE.

Cell lengths 4.127, 5.807, 9.159 Å; angles 68.44, 90.00, 110.82 degrees
Fractional coordinates of all 10 atoms:
1 N 0.911 0.823 0.175
2 N 0.089 0.177 0.825
3 Hf 0.877 0.754 0.946
4 Hf 0.123 0.246 0.054
5 Hf 0.648 0.295 0.797
6 Hf 0.132 0.264 0.561
7 Hf 0.868 0.736 0.439
8 Hf 0.352 0.705 0.203
9 In 0.610 0.220 0.319
10 In 0.390 0.780 0.681

Properties
Its formation energy (no corrections) is -0.66 eV/atom. Its crystal system is monoclinic. The calculation puts the spin magnetization at 0.000 μB/f.u. As for the raw total energy: -8.84 eV/atom.

Record 3
This record from the Alexandria database describes a geometry-optimized Ac2PuPd3Au12 structure. The functional is PBE.

Cell lengths 10.366, 10.366, 10.366 Å; angles 40.85, 40.85, 40.85 degrees
Each line ends with the local moment (μB).
Fractional coordinates of all 18 atoms:
1 Pd 0.500 0.000 0.000  0.00
2 Pd 0.000 0.000 0.500  0.00
3 Pd 0.000 0.500 0.000  0.00
4 Au 0.429 0.881 0.881  -0.01
5 Au 0.197 0.585 0.585  0.00
6 Au 0.415 0.803 0.415  0.00
7 Au 0.119 0.119 0.571  -0.01
8 Au 0.881 0.429 0.881  -0.01
9 Au 0.415 0.415 0.803  0.00
10 Au 0.803 0.415 0.415  0.00
11 Au 0.881 0.881 0.429  -0.01
12 Au 0.585 0.585 0.197  0.00
13 Au 0.571 0.119 0.119  -0.01
14 Au 0.585 0.197 0.585  0.00
15 Au 0.119 0.571 0.119  -0.01
16 Ac 0.641 0.641 0.641  0.00
17 Ac 0.359 0.359 0.359  0.00
18 Pu 0.000 0.000 0.000  5.12

Properties
The calculation puts the energy of formation from the pure elements at -140 meV per atom. Its crystal system is trigonal. The calculation puts the spin magnetization at 5.275 μB/f.u. As for the raw total energy: -4.44 eV/atom.

Record 4
This record from the Alexandria database describes a geometry-optimized Sc2MoIr structure. The functional is PBE.

Cell lengths 4.553, 2.950, 5.424 Å; angles 76.08, 90.00, 90.00 degrees
Fractional coordinates of all 4 atoms:
1 Ir 0.000 0.530 0.503
2 Sc 0.500 0.256 0.271
3 Sc 0.000 0.000 0.984
4 Mo 0.500 0.713 0.742

Properties
The calculation puts the energy of formation from the pure elements at -217 meV per atom. Its crystal system is monoclinic. The calculation puts the spin magnetization at 0.000 μB/f.u. As for the raw total energy: -8.31 eV/atom.

Record 5
This record from the Alexandria database describes a geometry-optimized LaZnAs2Se structure. The functional is PBE.

Cell lengths 4.836, 4.836, 5.102 Å; angles 90.00, 90.00, 90.00 degrees
Fractional coordinates of all 5 atoms:
1 As 0.500 0.000 0.000
2 As 0.000 0.500 0.000
3 Se 0.000 0.000 0.500
4 Zn 0.000 0.000 0.000
5 La 0.500 0.500 0.500

Properties
Its formation energy (no corrections) is -0.39 eV/atom. Its crystal system is tetragonal. The calculation puts the spin magnetization at 0.000 μB/f.u. The energy above the most stable polymorph in this dataset comes out at 0 meV/atom. As for the raw total energy: -4.19 eV/atom.

Record 6
This record from the Alexandria database describes a geometry-optimized SiTcBi3 structure. The functional is PBE.

Cell lengths 5.282, 5.282, 5.282 Å; angles 90.00, 90.00, 90.00 degrees
Fractional coordinates of all 5 atoms:
1 Tc 0.000 0.000 0.000
2 Si 0.500 0.500 0.500
3 Bi 0.000 0.000 0.500
4 Bi 0.500 0.000 0.000
5 Bi 0.000 0.500 0.000

Properties
Its formation energy (no corrections) is 0.85 eV/atom. Its crystal system is cubic. The calculation puts the spin magnetization at 0.000 μB/f.u. The energy above the most stable polymorph in this dataset comes out at 0 meV/atom. As for the raw total energy: -4.63 eV/atom.

Look up the raw total energy of the third one. -4.44 eV/atom

Repeat the fourth record exactly.
This record from the Alexandria database describes a geometry-optimized Sc2MoIr structure. The functional is PBE.

Cell lengths 4.553, 2.950, 5.424 Å; angles 76.08, 90.00, 90.00 degrees
Fractional coordinates of all 4 atoms:
1 Ir 0.000 0.530 0.503
2 Sc 0.500 0.256 0.271
3 Sc 0.000 0.000 0.984
4 Mo 0.500 0.713 0.742

Properties
The calculation puts the energy of formation from the pure elements at -217 meV per atom. Its crystal system is monoclinic. The calculation puts the spin magnetization at 0.000 μB/f.u. As for the raw total energy: -8.31 eV/atom.